## La3HoEr12 (GGA-PBE)

Data for La3HoEr12 after structural relaxation.

abc: 5.0287 5.0287 20.1476
angles: 90.00 90.00 90.00
Fractional positions:
La 0.0000 0.0000 0.0000
La 0.0000 0.0000 0.2502
La 0.0000 0.0000 0.7498
Ho 0.0000 0.0000 0.5000
Er 0.0000 0.5000 0.1259
Er 0.0000 0.5000 0.3784
Er 0.0000 0.5000 0.6216
Er 0.0000 0.5000 0.8741
Er 0.5000 0.0000 0.1259
Er 0.5000 0.0000 0.3784
Er 0.5000 0.0000 0.6216
Er 0.5000 0.0000 0.8741
Er 0.5000 0.5000 0.0000
Er 0.5000 0.5000 0.2524
Er 0.5000 0.5000 0.5000
Er 0.5000 0.5000 0.7476

The magnetization comes out at 0.0 μB per formula unit. As for the density of states at the Fermi level: 24.7 states/eV/cell. Its formation energy is 0.035 eV/atom. Its space-group type is No. 123.

***

## LaHoEr2 (GGA-PBE)

Data for LaHoEr2 after structural relaxation.

abc: 3.6610 11.4194 6.2447
angles: 90.00 90.00 90.00
Fractional positions:
La 0.0000 0.0000 0.0000
La 0.5000 0.5000 0.5000
Ho 0.0000 0.5000 0.9929
Ho 0.5000 0.0000 0.4929
Er 0.0000 0.2464 0.6568
Er 0.0000 0.7536 0.6568
Er 0.5000 0.2536 0.1568
Er 0.5000 0.7464 0.1568

The magnetization comes out at 0.0 μB per formula unit. The calculation puts the relative energy among the computed polymorphs at 19.0 meV/atom. As for the density of states at the Fermi level: 13.8 states/eV/cell. Its formation energy is 0.030 eV/atom. Its space-group type is No. 44.